## Mn2CuHg (GGA-PBE)

Data for a geometry-optimized Mn2CuHg structure.

a = 4.6718 Å, b = 4.6718 Å, c = 3.0022 Å
α = 90.02°, β = 90.02°, γ = 103.27°
Each line ends with the local moment (μB).
Element x y z (fractional)
Cu: 0.5000 0.0000 0.5000  0.10
Hg: 0.0000 0.5000 0.5000  -0.06
Mn: 0.0000 0.0000 0.0000  3.68
Mn: 0.5000 0.5000 0.0000  3.68

Values from the calculation:
The crystal system is orthorhombic. The space group is Cmmm (65). The energy of formation from the pure elements is 345 meV/atom. For the density of states at the Fermi level, the calculation gives 2.9 states/eV per cell.